Entry from the Alexandria database: BeBiSe2 after structural relaxation (PBE).

Computed properties:
The calculation puts the formation energy from raw total energies at 0.370 eV/atom. As for the final energy: -3.274 eV per atom. Its space-group type is Fm-3m, No. 225. The value obtained for the magnetic moment is 0.000 μB per formula unit.

Cell lengths 4.9485, 4.9485, 4.9485 Å; angles 60.00, 60.00, 60.00 degrees
Fractional positions:
Be 0.0000 0.0000 0.0000
Bi 0.5000 0.5000 0.5000
Se 0.2500 0.2500 0.2500
Se 0.7500 0.7500 0.7500